Entry 1:
DFT (PBEsol) results for a relaxed structure of TlIn2Te.

Cell and atoms, written as POSCAR:
```
TlIn2Te
1.0
-2.3207 2.3207 5.2285
2.3207 -2.3207 5.2285
2.3207 2.3207 -5.2285
Tl In Te
1 2 1
Direct
0.0000 0.0000 0.0000
0.5000 0.5000 0.0000
0.7500 0.2500 0.5000
0.2500 0.7500 0.5000
```

## Properties
Excess energy over the best structure of this formula in the dataset ... 0.0154 eV per atom
Calculated total energy ... -3.13 eV per atom
V ... 28.160 A^3/atom
Space-group type ... No. 119
ΔE_f (raw) ... -0.095 eV/atom


Entry 2:
DFT (PBEsol) results for a relaxed structure of Tl2InTe.

Cell and atoms, written as POSCAR:
```
Tl2InTe
1.0
4.9241 0.0000 0.0000
0.0000 4.9241 0.0000
0.0000 0.0000 4.8070
Tl In Te
2 1 1
Direct
0.0000 0.5000 0.0000
0.5000 0.0000 0.0000
0.0000 0.0000 0.5000
0.5000 0.5000 0.5000
```

## Properties
Excess energy over the best structure of this formula in the dataset ... 0.0062 eV per atom
Calculated total energy ... -3.08 eV per atom
V ... 29.139 A^3/atom
Space-group type ... No. 123
ΔE_f (raw) ... -0.134 eV/atom


Entry 3:
DFT (PBEsol) results for a relaxed structure of TlInTe.

Cell and atoms, written as POSCAR:
```
TlInTe
1.0
4.4781 0.0000 0.0000
-2.2391 3.8782 0.0000
0.0000 0.0000 5.4222
Tl In Te
1 1 1
Direct
0.0000 0.0000 0.0000
0.3333 0.6667 0.6505
0.6667 0.3333 0.3552
```

## Properties
Excess energy over the best structure of this formula in the dataset ... 0.0000 eV per atom
Calculated total energy ... -3.23 eV per atom
V ... 31.389 A^3/atom
Space-group type ... No. 156
ΔE_f (raw) ... -0.188 eV/atom


Entry 4:
DFT (PBEsol) results for a relaxed structure of Tl2InTe.

Cell and atoms, written as POSCAR:
```
Tl2InTe
1.0
-2.3602 2.3602 5.2124
2.3602 -2.3602 5.2124
2.3602 2.3602 -5.2124
Tl In Te
2 1 1
Direct
0.0000 0.0000 0.0000
0.7500 0.2500 0.5000
0.5000 0.5000 0.0000
0.2500 0.7500 0.5000
```

## Properties
Excess energy over the best structure of this formula in the dataset ... 0.0232 eV per atom
Calculated total energy ... -3.06 eV per atom
V ... 29.037 A^3/atom
Space-group type ... No. 119
ΔE_f (raw) ... -0.117 eV/atom


Entry 5:
DFT (PBEsol) results for a relaxed structure of Tl2InTe.

Cell and atoms, written as POSCAR:
```
Tl2InTe
1.0
2.1385 1.2347 7.7356
-2.1385 1.2347 7.7356
0.0000 -2.4694 7.7356
Tl In Te
2 1 1
Direct
0.2486 0.2486 0.2486
0.7514 0.7514 0.7514
0.0000 0.0000 0.0000
0.5000 0.5000 0.5000
```

## Properties
Excess energy over the best structure of this formula in the dataset ... 0.1003 eV per atom
Calculated total energy ... -2.98 eV per atom
V ... 30.638 A^3/atom
Space-group type ... No. 166
ΔE_f (raw) ... -0.040 eV/atom


Entry 6:
DFT (PBEsol) results for a relaxed structure of Tl2InTe.

Cell and atoms, written as POSCAR:
```
Tl2InTe
1.0
-2.3516 2.3516 5.2265
2.3516 -2.3516 5.2265
2.3516 2.3516 -5.2265
Tl In Te
2 1 1
Direct
0.2500 0.7500 0.5000
0.7500 0.2500 0.5000
0.0000 0.0000 0.0000
0.5000 0.5000 0.0000
```

## Properties
Excess energy over the best structure of this formula in the dataset ... 0.0165 eV per atom
Calculated total energy ... -3.07 eV per atom
V ... 28.904 A^3/atom
Space-group type ... No. 139
ΔE_f (raw) ... -0.123 eV/atom


Entry 7:
DFT (PBEsol) results for a relaxed structure of TlIn2Te2.

Cell and atoms, written as POSCAR:
```
TlIn2Te2
1.0
-2.8439 2.8439 4.7825
2.8439 -2.8439 4.7825
2.8439 2.8439 -4.7825
Tl In Te
1 2 2
Direct
0.0000 0.0000 0.0000
0.3526 0.3526 0.0000
0.6474 0.6474 0.0000
0.2500 0.7500 0.5000
0.7500 0.2500 0.5000
```

## Properties
Calculated total energy ... -3.34 eV per atom
V ... 30.943 A^3/atom
Space-group type ... No. 139
ΔE_f (raw) ... -0.207 eV/atom


Entry 8:
DFT (PBEsol) results for a relaxed structure of Tl2InTe.

Cell and atoms, written as POSCAR:
```
Tl2InTe
1.0
5.8548 -2.0673 0.0000
5.8548 2.0673 0.0000
-2.3302 0.0000 4.8176
Tl In Te
2 1 1
Direct
0.0000 0.0000 0.0000
0.2330 0.2330 0.7246
0.7553 0.7553 0.2402
0.4720 0.4720 0.4744
```

## Properties
Excess energy over the best structure of this formula in the dataset ... 0.0117 eV per atom
Calculated total energy ... -3.07 eV per atom
V ... 29.155 A^3/atom
Space-group type ... No. 8
ΔE_f (raw) ... -0.128 eV/atom